No. 1
DFT (PBE) results for CdAgSeO after structural relaxation.

```
data_CdAgSeO
_symmetry_space_group_name_H-M 'C m c 21'
_symmetry_Int_Tables_number 36
_cell_length_a 3.610
_cell_length_b 13.103
_cell_length_c 6.260
_cell_angle_alpha 90.00
_cell_angle_beta 90.00
_cell_angle_gamma 90.00
loop_
_symmetry_equiv_pos_as_xyz
'x,y,z'
'-x,-y,z+1/2'
'-x,y,z'
'x,-y,z+1/2'
'x+1/2,y+1/2,z'
'-x+1/2,-y+1/2,z+1/2'
'-x+1/2,y+1/2,z'
'x+1/2,-y+1/2,z+1/2'
loop_
_atom_site_label
_atom_site_type_symbol
_atom_site_fract_x
_atom_site_fract_y
_atom_site_fract_z
Cd1 Cd 0.000 0.206 0.000
Ag1 Ag 0.000 0.497 0.199
Se1 Se 0.000 0.135 0.442
O1 O 0.000 0.390 0.453
```

Summary:
- uncorrected energy (eV/atom) = -3.363

No. 2
DFT (PBE) results for CdAgSeO after structural relaxation.

```
data_CdAgSeO
_symmetry_space_group_name_H-M 'P 4/n m m'
_symmetry_Int_Tables_number 129
_cell_length_a 3.668
_cell_length_b 3.668
_cell_length_c 11.160
_cell_angle_alpha 90.00
_cell_angle_beta 90.00
_cell_angle_gamma 90.00
loop_
_symmetry_equiv_pos_as_xyz
'x,y,z'
'-x,-y,-z'
'-y+1/2,x,z'
'y+1/2,-x,-z'
'-x+1/2,-y+1/2,z'
'x+1/2,y+1/2,-z'
'y,-x+1/2,z'
'-y,x+1/2,-z'
'x+1/2,-y,-z'
'-x+1/2,y,z'
'-y,-x,-z'
'y,x,z'
'-x,y+1/2,-z'
'x,-y+1/2,z'
'y+1/2,x+1/2,-z'
'-y+1/2,-x+1/2,z'
loop_
_atom_site_label
_atom_site_type_symbol
_atom_site_fract_x
_atom_site_fract_y
_atom_site_fract_z
Cd1 Cd 0.250 0.250 0.106
Ag1 Ag 0.250 0.250 0.708
Se1 Se 0.250 0.750 0.500
O1 O 0.250 0.250 0.905
```

Summary:
- uncorrected energy (eV/atom) = -3.188

No. 3
DFT (PBE) results for CdAgSeO after structural relaxation.

```
data_CdAgSeO
_symmetry_space_group_name_H-M 'P b c a'
_symmetry_Int_Tables_number 61
_cell_length_a 6.755
_cell_length_b 13.086
_cell_length_c 7.282
_cell_angle_alpha 90.00
_cell_angle_beta 90.00
_cell_angle_gamma 90.00
loop_
_symmetry_equiv_pos_as_xyz
'x,y,z'
'-x,-y,-z'
'-x+1/2,-y,z+1/2'
'x+1/2,y,-z+1/2'
'x+1/2,-y+1/2,-z'
'-x+1/2,y+1/2,z'
'-x,y+1/2,-z+1/2'
'x,-y+1/2,z+1/2'
loop_
_atom_site_label
_atom_site_type_symbol
_atom_site_fract_x
_atom_site_fract_y
_atom_site_fract_z
Cd1 Cd 0.030 0.248 0.161
Ag1 Ag 0.248 0.563 0.987
Se1 Se 0.001 0.515 0.252
O1 O 0.215 0.240 0.906
```

Summary:
- uncorrected energy (eV/atom) = -3.429

No. 4
DFT (PBE) results for CdAg3Sn4O12 after structural relaxation.

```
data_CdAg3Sn4O12
_symmetry_space_group_name_H-M 'I m -3'
_symmetry_Int_Tables_number 204
_symmetry_space_group_name_Hall '-I 2 2 3'
_cell_length_a 7.874
_cell_length_b 7.874
_cell_length_c 7.874
_cell_angle_alpha 90.00
_cell_angle_beta 90.00
_cell_angle_gamma 90.00
loop_
_atom_site_label
_atom_site_type_symbol
_atom_site_fract_x
_atom_site_fract_y
_atom_site_fract_z
Cd1 Cd 0.000 0.000 0.000
Ag1 Ag 0.000 0.000 0.500
Sn1 Sn 0.250 0.250 0.250
O1 O 0.000 0.294 0.182
```

Summary:
- uncorrected energy (eV/atom) = -5.247

No. 5
DFT (PBE) results for CdAgTeO after structural relaxation.

```
data_CdAgTeO
_symmetry_space_group_name_H-M 'P 4/n m m'
_symmetry_Int_Tables_number 129
_cell_length_a 4.077
_cell_length_b 4.077
_cell_length_c 10.728
_cell_angle_alpha 90.00
_cell_angle_beta 90.00
_cell_angle_gamma 90.00
loop_
_symmetry_equiv_pos_as_xyz
'x,y,z'
'-x,-y,-z'
'-y+1/2,x,z'
'y+1/2,-x,-z'
'-x+1/2,-y+1/2,z'
'x+1/2,y+1/2,-z'
'y,-x+1/2,z'
'-y,x+1/2,-z'
'x+1/2,-y,-z'
'-x+1/2,y,z'
'-y,-x,-z'
'y,x,z'
'-x,y+1/2,-z'
'x,-y+1/2,z'
'y+1/2,x+1/2,-z'
'-y+1/2,-x+1/2,z'
loop_
_atom_site_label
_atom_site_type_symbol
_atom_site_fract_x
_atom_site_fract_y
_atom_site_fract_z
Cd1 Cd 0.250 0.250 0.080
Ag1 Ag 0.250 0.250 0.632
Te1 Te 0.250 0.250 0.346
O1 O 0.250 0.750 0.000
```

Summary:
- uncorrected energy (eV/atom) = -3.313

No. 6
DFT (PBE) results for CdAgTeO after structural relaxation.

```
data_CdAgTeO
_symmetry_space_group_name_H-M 'C m c 21'
_symmetry_Int_Tables_number 36
_cell_length_a 3.650
_cell_length_b 13.552
_cell_length_c 6.783
_cell_angle_alpha 90.00
_cell_angle_beta 90.00
_cell_angle_gamma 90.00
loop_
_symmetry_equiv_pos_as_xyz
'x,y,z'
'-x,-y,z+1/2'
'-x,y,z'
'x,-y,z+1/2'
'x+1/2,y+1/2,z'
'-x+1/2,-y+1/2,z+1/2'
'-x+1/2,y+1/2,z'
'x+1/2,-y+1/2,z+1/2'
loop_
_atom_site_label
_atom_site_type_symbol
_atom_site_fract_x
_atom_site_fract_y
_atom_site_fract_z
Cd1 Cd 0.000 0.007 0.000
Ag1 Ag 0.000 0.301 0.772
Te1 Te 0.000 0.351 0.245
O1 O 0.000 0.095 0.259
```

Summary:
- uncorrected energy (eV/atom) = -3.276

No. 7
DFT (PBE) results for CdAgTeO after structural relaxation.

```
data_CdAgTeO
_symmetry_space_group_name_H-M 'P n m a'
_symmetry_Int_Tables_number 62
_cell_length_a 6.977
_cell_length_b 3.615
_cell_length_c 13.377
_cell_angle_alpha 90.00
_cell_angle_beta 90.00
_cell_angle_gamma 90.00
loop_
_symmetry_equiv_pos_as_xyz
'x,y,z'
'-x,-y,-z'
'-x+1/2,-y,z+1/2'
'x+1/2,y,-z+1/2'
'x+1/2,-y+1/2,-z+1/2'
'-x+1/2,y+1/2,z+1/2'
'-x,y+1/2,-z'
'x,-y+1/2,z'
loop_
_atom_site_label
_atom_site_type_symbol
_atom_site_fract_x
_atom_site_fract_y
_atom_site_fract_z
Cd1 Cd 0.029 0.250 0.247
Ag1 Ag 0.237 0.250 0.948
Te1 Te 0.227 0.250 0.602
O1 O 0.224 0.750 0.843
```

Summary:
- uncorrected energy (eV/atom) = -3.280

No. 8
DFT (PBE) results for CdAgTeO after structural relaxation.

```
data_CdAgTeO
_symmetry_space_group_name_H-M 'P 4/n m m'
_symmetry_Int_Tables_number 129
_cell_length_a 3.591
_cell_length_b 3.591
_cell_length_c 12.528
_cell_angle_alpha 90.00
_cell_angle_beta 90.00
_cell_angle_gamma 90.00
loop_
_symmetry_equiv_pos_as_xyz
'x,y,z'
'-x,-y,-z'
'-y+1/2,x,z'
'y+1/2,-x,-z'
'-x+1/2,-y+1/2,z'
'x+1/2,y+1/2,-z'
'y,-x+1/2,z'
'-y,x+1/2,-z'
'x+1/2,-y,-z'
'-x+1/2,y,z'
'-y,-x,-z'
'y,x,z'
'-x,y+1/2,-z'
'x,-y+1/2,z'
'y+1/2,x+1/2,-z'
'-y+1/2,-x+1/2,z'
loop_
_atom_site_label
_atom_site_type_symbol
_atom_site_fract_x
_atom_site_fract_y
_atom_site_fract_z
Cd1 Cd 0.250 0.250 0.091
Ag1 Ag 0.250 0.750 0.500
Te1 Te 0.250 0.250 0.690
O1 O 0.250 0.250 0.911
```

Summary:
- uncorrected energy (eV/atom) = -3.150